Entry 1:
Entry from the Alexandria database: a relaxed structure of CsGaPt2 (PBE).

Values from the calculation:
* volume: 28.586 A^3/atom
* electronic total energy: -4.3654 eV/atom
* Fermi-level density of states: 0.186 states/eV/atom
* spin magnetization: 0.00 μB per atom
* DFT formation energy: -375 meV per atom
* crystal system: orthorhombic

Cell lengths 4.413, 7.511, 6.899 Å; angles 90.00, 90.00, 90.00 degrees
Element x y z (fractional)
Cs 0.250 0.250 0.099
Cs 0.750 0.750 0.901
Ga 0.250 0.750 0.436
Ga 0.750 0.250 0.564
Pt 0.250 0.070 0.583
Pt 0.250 0.430 0.583
Pt 0.750 0.570 0.417
Pt 0.750 0.930 0.417

=====

Entry 2:
Entry from the Alexandria database: a relaxed structure of CsGa2Pt2 (PBE).

Values from the calculation:
* volume: 25.900 A^3/atom
* electronic total energy: -4.2079 eV/atom
* Fermi-level density of states: 0.493 states/eV/atom
* relative energy among the computed polymorphs: 78 meV per atom
* spin magnetization: 0.00 μB per atom
* DFT formation energy: -410 meV per atom
* crystal system: tetragonal

Cell lengths 4.170, 4.170, 14.897 Å; angles 90.00, 90.00, 90.00 degrees
Element x y z (fractional)
Cs 0.000 0.000 0.000
Cs 0.500 0.500 0.500
Ga 0.000 0.000 0.345
Ga 0.000 0.000 0.655
Ga 0.500 0.500 0.155
Ga 0.500 0.500 0.845
Pt 0.000 0.500 0.250
Pt 0.000 0.500 0.750
Pt 0.500 0.000 0.250
Pt 0.500 0.000 0.750

=====

Entry 3:
Entry from the Alexandria database: a relaxed structure of CsGa2Pt (PBE).

Values from the calculation:
* volume: 24.013 A^3/atom
* electronic total energy: -2.9161 eV/atom
* Fermi-level density of states: 0.760 states/eV/atom
* spin magnetization: 0.00 μB per atom
* DFT formation energy: 321 meV per atom
* crystal system: cubic

Cell lengths 7.270, 7.270, 7.270 Å; angles 90.00, 90.00, 90.00 degrees
Element x y z (fractional)
Cs 0.000 0.000 0.000
Cs 0.000 0.500 0.500
Cs 0.500 0.000 0.500
Cs 0.500 0.500 0.000
Ga 0.250 0.250 0.250
Ga 0.250 0.250 0.750
Ga 0.250 0.750 0.250
Ga 0.250 0.750 0.750
Ga 0.750 0.250 0.250
Ga 0.750 0.250 0.750
Ga 0.750 0.750 0.250
Ga 0.750 0.750 0.750
Pt 0.000 0.000 0.500
Pt 0.000 0.500 0.000
Pt 0.500 0.000 0.000
Pt 0.500 0.500 0.500